# PrGdRuPt

A relaxed PrGdRuPt crystal (GGA-PBE, Alexandria via LeMat-Bulk).

Unit cell a=7.0684 b=7.0684 c=7.0684 alpha=90.00 beta=90.00 gamma=90.00
Space group F-43m (No. 216)
One atom of each set of equivalent atoms:
Pr: 0.0000 0.0000 0.0000 x4
Gd: 0.0000 0.0000 0.5000 x4
Ru: 0.2500 0.2500 0.7500 x4
Pt: 0.2500 0.2500 0.2500 x4

Output
M_tot (μB per cell): 27.58
VASP energy (eV per atom): -9.141
DOS at the Fermi energy (states/eV/f.u.): 3.032
Calculated formation energy (eV/atom): -0.596
Mass density (kg/m3): 11178

---

# Tb7PmCd4

A relaxed Tb7PmCd4 crystal (GGA-PBE, Alexandria via LeMat-Bulk).

Unit cell a=14.7720 b=5.7349 c=9.7766 alpha=90.00 beta=122.03 gamma=90.00
Space group C2/m (No. 12)
One atom of each set of equivalent atoms:
Tb: 0.0000 0.0000 0.0000 x2
Tb: 0.0710 0.5000 0.4129 x4
Tb: 0.2050 0.5000 0.8800 x4
Tb: 0.2367 0.0000 0.6924 x4
Pm: 0.0000 0.5000 0.0000 x2
Cd: 0.0412 0.0000 0.7118 x4
Cd: 0.1820 0.0000 0.3414 x4

Output
M_tot (μB per cell): 0.00
VASP energy (eV per atom): -3.405
DOS at the Fermi energy (states/eV/f.u.): 14.453
Calculated formation energy (eV/atom): -0.003
Mass density (kg/m3): 8074

---

What did the first record say?
# PrGdRuPt

A relaxed PrGdRuPt crystal (GGA-PBE, Alexandria via LeMat-Bulk).

Unit cell a=7.0684 b=7.0684 c=7.0684 alpha=90.00 beta=90.00 gamma=90.00
Space group F-43m (No. 216)
One atom of each set of equivalent atoms:
Pr: 0.0000 0.0000 0.0000 x4
Gd: 0.0000 0.0000 0.5000 x4
Ru: 0.2500 0.2500 0.7500 x4
Pt: 0.2500 0.2500 0.2500 x4

Output
M_tot (μB per cell): 27.58
VASP energy (eV per atom): -9.141
DOS at the Fermi energy (states/eV/f.u.): 3.032
Calculated formation energy (eV/atom): -0.596
Mass density (kg/m3): 11178

---

Which value of VASP energy does entry 1 give?
-9.141 eV per atom